Material: CsScGa3
Method: DFT, PBE
State: relaxed

The value obtained for the formation energy is 1.340 eV/atom. The calculation puts the volume at 183.5 Å³/cell. As for the uncorrected energy: -9.57 eV/f.u. Its relative energy among the computed polymorphs is 1106 meV/atom.

```
data_CsScGa3
_chemical_formula_sum 'Cs1 Sc1 Ga3'
_symmetry_space_group_name_H-M 'P 1'
_symmetry_Int_Tables_number 1
_symmetry_space_group_name_Hall 'P 1'
_cell_length_a 5.683
_cell_length_b 5.683
_cell_length_c 5.683
_cell_angle_alpha 90.00
_cell_angle_beta 90.00
_cell_angle_gamma 90.00
loop_
_atom_site_label
_atom_site_fract_x
_atom_site_fract_y
_atom_site_fract_z
_atom_site_occupancy
Ga1 0.500 0.000 0.000 1
Ga2 0.000 0.500 0.000 1
Ga3 0.000 0.000 0.500 1
Cs1 0.000 0.000 0.000 1
Sc1 0.500 0.500 0.500 1
```